Material: ZnRu4Au
Method: DFT, PBE-GGA
State: optimized geometry

Geometry as POSCAR:
```
ZnRu4Au
1.0
0.000 3.622 3.622
3.622 0.000 3.622
3.622 3.622 0.000
Zn Ru Au
1 4 1
Direct
0.750 0.750 0.750
0.875 0.375 0.375
0.375 0.375 0.875
0.375 0.875 0.375
0.375 0.375 0.375
0.000 0.000 0.000
```

Results
Its energy of formation from the pure elements is 3.6 eV per formula unit. The value obtained for the total magnetization is 0.355 μB per atom. As for the calculated total energy: -6.35 eV/atom.